The following is a DFT calculation (PBE) of MnAl2Tl after structural relaxation.

Cell and atoms, written as POSCAR:
```
MnAl2Tl
1.0
2.841 -4.137 0.000
2.841 4.137 0.000
0.000 0.000 3.162
Mn Al Tl
1 2 1
direct
0.000 0.000 0.000
0.000 0.500 0.500
0.500 0.000 0.500
0.500 0.500 0.000
```

Summary:
Raw total energy (Ha/atom): -0.1632
DFT formation energy (kJ/mol of formula units): 121.1
Space-group type: No. 65
Offset from the most stable computed form (eV per atom): 0.252
Total magnetic moment (μB/f.u.): 3.55